(1)
This record from the Alexandria database describes crystalline Ba2CoRe2N6 at its relaxed geometry. The functional is GGA-PBE. Values from VASP.

Calculated values
Formation energy (no corrections)   -2.90 eV/f.u.

```
&SYSTEM
  ibrav = 0, nat = 11, ntyp = 4
/
ATOMIC_SPECIES
Re 186.21 Re.upf
N 14.01 N.upf
Ba 137.33 Ba.upf
Co 58.93 Co.upf
ATOMIC_POSITIONS crystal
Re 0.4236 0.4236 0.7293
N 0.7431 0.2284 0.8001
N 0.7716 0.2569 0.1999
Ba 0.7714 0.7714 0.6858
N 0.7716 0.7716 0.1999
Re 0.5764 0.5764 0.2707
Ba 0.2286 0.2286 0.3142
N 0.2284 0.2284 0.8001
N 0.2284 0.7431 0.8001
N 0.2569 0.7716 0.1999
Co 0.0000 0.0000 0.0000
CELL_PARAMETERS angstrom
-0.0268 4.1320 4.2497
-5.0089 2.8971 1.2853
-3.0091 -1.6961 5.7640
```

***

(2)
This record from the Alexandria database describes crystalline Ni2HgRh at its relaxed geometry. The functional is GGA-PBE. Values from VASP.

Calculated values
ΔH_f (0 K)   0.29 eV per atom

```
&SYSTEM
  ibrav = 0, nat = 4, ntyp = 3
/
ATOMIC_SPECIES
Hg 200.59 Hg.upf
Ni 58.69 Ni.upf
Rh 102.91 Rh.upf
ATOMIC_POSITIONS crystal
Hg 0.7500 0.7500 0.7500
Ni 0.9946 0.9946 0.9946
Rh 0.2500 0.2500 0.2500
Ni 0.5054 0.5054 0.5054
CELL_PARAMETERS angstrom
8.7492 0.0090 0.0053
8.2963 2.7783 0.0053
8.2963 1.3566 2.4246
```

***

(3)
This record from the Alexandria database describes crystalline CaZnCu3 at its relaxed geometry. The functional is GGA-PBE. Values from VASP.

Calculated values
ΔH_f (0 K)   1.25 eV per atom
Energy relative to the lowest polymorph listed for this composition   6.72 eV per formula unit

```
&SYSTEM
  ibrav = 0, nat = 5, ntyp = 3
/
ATOMIC_SPECIES
Cu 63.55 Cu.upf
Ca 40.08 Ca.upf
Zn 65.41 Zn.upf
ATOMIC_POSITIONS crystal
Cu 0.0000 0.0000 0.5000
Cu 0.5000 0.0000 0.0000
Cu 0.0000 0.5000 0.0000
Ca 0.0000 0.0000 0.0000
Zn 0.5000 0.5000 0.5000
CELL_PARAMETERS angstrom
5.1432 0.0000 0.0000
0.0000 5.1432 0.0000
0.0000 0.0000 5.1432
```

***

(4)
This record from the Alexandria database describes crystalline Na3YSi2O7 at its relaxed geometry. The functional is GGA-PBE. Values from VASP.

Calculated values
Formation energy (no corrections)   -34.72 eV/f.u.

```
&SYSTEM
  ibrav = 0, nat = 78, ntyp = 4
/
ATOMIC_SPECIES
Na 22.99 Na.upf
O 16.00 O.upf
Si 28.09 Si.upf
Y 88.91 Y.upf
ATOMIC_POSITIONS crystal
Na 0.0134 0.3307 0.4121
O 0.6824 0.1010 0.2502
O 0.1511 0.1995 0.1390
Si 0.0179 0.3460 0.8590
Si 0.3283 0.9818 0.6411
O 0.2706 0.8282 0.5669
Na 0.6827 0.0134 0.9121
Na 0.0000 0.0000 0.4996
O 0.7308 0.1684 0.4356
Na 0.3333 0.6667 0.7318
O 0.8990 0.5814 0.2502
O 0.8282 0.5576 0.0669
O 0.7989 0.9488 0.3596
O 0.4847 0.8762 0.3786
Si 0.6717 0.0182 0.1411
O 0.1238 0.6085 0.3786
O 0.3905 0.5148 0.1207
O 0.0512 0.8501 0.3596
O 0.6095 0.4852 0.6207
O 0.7294 0.1718 0.0669
O 0.8762 0.3915 0.8786
Na 0.3307 0.3158 0.5877
O 0.3176 0.8990 0.7502
O 0.1243 0.6095 0.1207
O 0.4424 0.2706 0.0669
Na 0.3307 0.3173 0.9121
O 0.3915 0.5153 0.3786
Si 0.0182 0.3465 0.6411
Y 0.0000 0.0000 0.2497
O 0.9516 0.1511 0.6390
Na 0.3173 0.9866 0.4121
Na 0.3333 0.6667 0.2489
O 0.6085 0.4847 0.8786
O 0.8501 0.7989 0.8596
Y 0.6667 0.3333 0.5174
O 0.8316 0.5624 0.4356
O 0.8757 0.3905 0.6207
O 0.2692 0.8316 0.9356
Na 0.6693 0.6842 0.0877
O 0.5148 0.1243 0.6207
Si 0.6540 0.6719 0.8590
Y 0.3333 0.6667 0.4797
O 0.1499 0.2011 0.3596
Na 0.9866 0.6693 0.9121
Y 0.6667 0.3333 0.9797
Si 0.3460 0.3281 0.3590
Na 0.0149 0.3307 0.0877
O 0.4852 0.8757 0.1207
O 0.0484 0.8489 0.1390
O 0.5153 0.1238 0.8786
O 0.9488 0.1499 0.8596
O 0.2011 0.0512 0.8596
Si 0.6535 0.6717 0.6411
Na 0.6667 0.3333 0.2318
Na 0.6667 0.3333 0.7489
Na 0.6693 0.6827 0.4121
O 0.5624 0.7308 0.9356
Y 0.0000 0.0000 0.7497
O 0.8005 0.9516 0.1390
O 0.1010 0.4186 0.7502
O 0.8489 0.8005 0.6390
Si 0.6719 0.0179 0.3590
Na 0.0000 0.0000 0.9996
O 0.4376 0.2692 0.4356
Na 0.9851 0.6693 0.5877
O 0.1684 0.4376 0.9356
O 0.1995 0.0484 0.6390
O 0.4186 0.3176 0.2502
O 0.1718 0.4424 0.5669
Na 0.6842 0.0149 0.5877
O 0.5576 0.7294 0.5669
Y 0.3333 0.6667 0.0174
Si 0.3281 0.9821 0.8590
Si 0.9821 0.6540 0.3590
Si 0.3465 0.3283 0.1411
Na 0.3158 0.9851 0.0877
O 0.5814 0.6824 0.7502
Si 0.9818 0.6535 0.1411
CELL_PARAMETERS angstrom
-1.7742 9.0318 2.4194
-6.8495 -6.5635 0.7608
4.0369 -2.7009 13.0434
```

***

(5)
This record from the Alexandria database describes crystalline Pm2TmWN5 at its relaxed geometry. The functional is GGA-PBE. Values from VASP.

Calculated values
Formation energy (no corrections)   -10.77 eV/f.u.

```
&SYSTEM
  ibrav = 0, nat = 18, ntyp = 4
/
ATOMIC_SPECIES
W 183.84 W.upf
N 14.01 N.upf
Tm 168.93 Tm.upf
Pm 145.00 Pm.upf
ATOMIC_POSITIONS crystal
W 0.5063 0.0125 0.9670
N 0.2858 0.5716 0.6536
N 0.7142 0.4284 0.1536
Tm 0.7840 0.5680 0.5018
Tm 0.2160 0.4320 0.0018
N 0.6198 0.2397 0.5179
Pm 0.1217 0.2433 0.7129
N 0.3082 0.6163 0.3619
N 0.6918 0.3837 0.8619
N 0.9520 0.9040 0.5332
N 0.0480 0.0960 0.0332
N 0.4927 0.9854 0.7981
N 0.5073 0.0146 0.2981
Pm 0.1501 0.3001 0.2774
Pm 0.8499 0.6999 0.7774
W 0.4937 0.9875 0.4670
N 0.3802 0.7603 0.0179
Pm 0.8783 0.7567 0.2129
CELL_PARAMETERS angstrom
3.4467 0.0000 0.0000
-1.7233 7.0341 0.0000
0.0000 0.0000 10.8624
```

***

(6)
This record from the Alexandria database describes crystalline CeEuZnCu at its relaxed geometry. The functional is GGA-PBE. Values from VASP.

Calculated values
ΔH_f (0 K)   -0.10 eV per atom

```
&SYSTEM
  ibrav = 0, nat = 4, ntyp = 4
/
ATOMIC_SPECIES
Cu 63.55 Cu.upf
Zn 65.41 Zn.upf
Ce 140.12 Ce.upf
Eu 151.96 Eu.upf
ATOMIC_POSITIONS crystal
Cu 0.7500 0.7500 0.7500
Zn 0.2500 0.2500 0.2500
Ce 0.0000 0.0000 0.0000
Eu 0.5000 0.5000 0.5000
CELL_PARAMETERS angstrom
5.1418 0.0000 0.0000
2.5709 4.4529 0.0000
2.5709 1.4843 4.1982
```

***

no.,raw total energy (eV/atom),calculated density (Mg/m³)
1,-8.063,7.5
2,-4.511,11.9
3,-1.860,3.6
4,-6.977,3.0
5,-8.814,9.0
6,-5.491,7.3